Computed, not measured: La2CrBPt after structural relaxation at the PBE level of DFT.

Lattice parameters (Å, degrees): 5.6776 4.0362 5.6776 90.00 90.00 90.00
With the nearest neighbours (Å) after each atom.
Positions (direct):
B: 0.0000 0.5000 0.0000  2 Pt 2.02
La: 0.0000 0.0000 0.5000  2 Pt 2.84
Cr: 0.5000 0.5000 0.5000  8 La 3.48
La: 0.5000 0.0000 0.0000  2 Pt 2.84
Pt: 0.0000 0.0000 0.0000  2 B 2.02

D(E_F)   1.65 states/eV per atom
Formation energy from the elements   2.6 eV per formula unit
Symmetry   P4/mmm, No. 123



Computed, not measured: LaCrB2Sb after structural relaxation at the PBE level of DFT.

Lattice parameters (Å, degrees): 4.7271 4.6988 4.7271 90.00 90.00 90.00
With the nearest neighbours (Å) after each atom.
Positions (direct):
La: 0.0000 0.0000 0.0000  2 Cr 2.35, 4 B 2.36
B: 0.0000 0.0000 0.5000  2 La 2.36
Sb: 0.5000 0.5000 0.5000  8 B 3.33, 4 Cr 3.34
B: 0.5000 0.0000 0.0000  2 La 2.36
Cr: 0.0000 0.5000 0.0000  2 La 2.35

D(E_F)   1.26 states/eV per atom
Symmetry   P4/mmm, No. 123
Uncorrected formation energy   2.237 eV/atom



Computed, not measured: LaScCrB2 after structural relaxation at the PBE level of DFT.

Lattice parameters (Å, degrees): 4.5130 5.3173 4.5130 90.00 90.00 90.00
With the nearest neighbours (Å) after each atom.
Positions (direct):
B: 0.0000 0.0000 0.5000  2 La 2.26
La: 0.0000 0.0000 0.0000  4 B 2.26
Cr: 0.5000 0.5000 0.5000  4 Sc 3.19, 8 B 3.49
B: 0.5000 0.0000 0.0000  2 La 2.26
Sc: 0.0000 0.5000 0.0000  2 La 2.66

D(E_F)   1.49 states/eV per atom
Formation energy from the elements   12.7 eV per formula unit
Symmetry   P4/mmm, No. 123



Computed, not measured: Li3CrB after structural relaxation at the PBE level of DFT.

Lattice parameters (Å, degrees): 4.8091 4.8091 4.8091 90.00 90.00 90.00
With the nearest neighbours (Å) after each atom.
Positions (direct):
B: 0.5000 0.5000 0.5000  12 Li 3.40
Li: 0.5000 0.0000 0.0000  2 Cr 2.40
Li: 0.0000 0.5000 0.0000  2 Cr 2.40
Li: 0.0000 0.0000 0.5000  2 Cr 2.40
Cr: 0.0000 0.0000 0.0000  6 Li 2.40

Relative energy among the computed polymorphs   435 meV per atom
D(E_F)   0.57 states/eV per atom
Formation energy from the elements   8.0 eV per formula unit
Symmetry   Pm-3m, No. 221



Computed, not measured: Li3CrB after structural relaxation at the PBE level of DFT.

Lattice parameters (Å, degrees): 3.9808 3.9808 3.9808 90.00 90.00 90.00
With the nearest neighbours (Å) after each atom.
Positions (direct):
Li: 0.0000 0.5000 0.0000  2 B 1.99
Li: 0.5000 0.0000 0.0000  2 B 1.99
Cr: 0.5000 0.5000 0.5000  12 Li 2.81
B: 0.0000 0.0000 0.0000  6 Li 1.99
Li: 0.0000 0.0000 0.5000  2 B 1.99

Relative energy among the computed polymorphs   0 meV per atom
D(E_F)   1.44 states/eV per atom
Formation energy from the elements   5.8 eV per formula unit
Symmetry   Pm-3m, No. 221



Computed, not measured: LiCr2B2 after structural relaxation at the PBE level of DFT.

Lattice parameters (Å, degrees): 5.5376 5.5376 2.9042 90.00 90.00 90.00
With the nearest neighbours (Å) after each atom.
Positions (direct):
B: 0.3884 0.8884 0.0000  1 B 1.75
B: 0.8884 0.6116 0.0000  1 B 1.75
Cr: 0.1775 0.6775 0.5000  6 B 2.19-2.20
B: 0.6116 0.1116 0.0000  1 B 1.75
Li: 0.0000 0.0000 0.0000  4 B 2.24, 8 Cr 2.50
Cr: 0.6775 0.8225 0.5000  6 B 2.19-2.20
Cr: 0.8225 0.3225 0.5000  6 B 2.19-2.20
Cr: 0.3225 0.1775 0.5000  6 B 2.19-2.20
Li: 0.5000 0.5000 0.0000  4 B 2.24, 8 Cr 2.50
B: 0.1116 0.3884 0.0000  1 B 1.75

D(E_F)   0.44 states/eV per atom
Formation energy from the elements   -0.9 eV per formula unit
Symmetry   P4/mbm, No. 127



Computed values of M_tot (unit: μB per atom) for the preceding records, in sequence: 0.096; 0.049; 0.003; 0.954; 0.000; 0.529.